Density functional theory data (GGA-PBE) for crystalline MoRuSe2 at its relaxed geometry.

The structure in extended XYZ format:
```
4
Lattice="-1.877 1.877 4.579 1.877 -1.877 4.579 1.877 1.877 -4.579" Properties=species:S:1:pos:R:3 pbc="T T T"
Mo 0.000 0.000 0.000
Ru 1.877 0.000 2.289
Se 0.000 0.000 4.579
Se 0.000 1.877 2.289
```

Calculated values
For the final energy, the calculation gives -25.28 eV for the cell shown. As for the distance to the lowest polymorph of the same formula: 2.47 eV/f.u. The formation energy without anion corrections is 0.449 eV/atom. Its crystal system is tetragonal.



Density functional theory data (GGA-PBE) for crystalline MoRuSe2 at its relaxed geometry.

The structure in extended XYZ format:
```
4
Lattice="3.808 0.000 0.000 0.000 3.934 0.000 0.000 0.000 6.243" Properties=species:S:1:pos:R:3 pbc="T T T"
Mo 0.000 0.000 0.000
Ru 1.904 1.967 6.209
Se 0.000 1.967 1.588
Se 1.904 0.000 4.604
```

Calculated values
For the final energy, the calculation gives -27.75 eV for the cell shown. As for the distance to the lowest polymorph of the same formula: 0.00 eV/f.u. The formation energy without anion corrections is -0.169 eV/atom. Its crystal system is orthorhombic.



Density functional theory data (GGA-PBE) for crystalline MoRuSe2 at its relaxed geometry.

The structure in extended XYZ format:
```
4
Lattice="0.000 3.137 3.137 3.137 0.000 3.137 3.137 3.137 0.000" Properties=species:S:1:pos:R:3 pbc="T T T"
Mo 0.000 0.000 0.000
Ru 3.137 3.137 3.137
Se 1.568 1.568 1.568
Se 4.705 4.705 4.705
```

Calculated values
For the final energy, the calculation gives -26.52 eV for the cell shown. As for the distance to the lowest polymorph of the same formula: 1.23 eV/f.u. The formation energy without anion corrections is 0.139 eV/atom. Its crystal system is cubic.



Density functional theory data (GGA-PBE) for crystalline Mo2RuSe at its relaxed geometry.

The structure in extended XYZ format:
```
4
Lattice="1.459 0.842 8.673 -1.459 0.842 8.673 0.000 -1.685 8.673" Properties=species:S:1:pos:R:3 pbc="T T T"
Mo 0.000 0.000 0.000
Mo 0.000 0.000 6.290
Ru 0.000 0.000 19.372
Se 0.000 0.000 13.044
```

Calculated values
For the final energy, the calculation gives -33.49 eV for the cell shown. The formation energy without anion corrections is 0.233 eV/atom. Its crystal system is trigonal.



Density functional theory data (GGA-PBE) for crystalline MoRu2Se at its relaxed geometry.

The structure in extended XYZ format:
```
4
Lattice="-1.945 1.945 3.928 1.945 -1.945 3.928 1.945 1.945 -3.928" Properties=species:S:1:pos:R:3 pbc="T T T"
Mo 0.000 0.000 0.000
Ru 1.945 0.000 1.964
Ru 0.000 1.945 1.964
Se 0.000 0.000 3.928
```

Calculated values
For the final energy, the calculation gives -31.42 eV for the cell shown. The formation energy without anion corrections is 0.361 eV/atom. Its crystal system is tetragonal.



Density functional theory data (GGA-PBE) for crystalline Mo2RuSe at its relaxed geometry.

The structure in extended XYZ format:
```
4
Lattice="-1.880 1.880 4.362 1.880 -1.880 4.362 1.880 1.880 -4.362" Properties=species:S:1:pos:R:3 pbc="T T T"
Mo 1.880 0.000 2.181
Mo 0.000 1.880 2.181
Ru 0.000 0.000 0.000
Se 0.000 0.000 4.362
```

Calculated values
For the final energy, the calculation gives -33.09 eV for the cell shown. The formation energy without anion corrections is 0.333 eV/atom. Its crystal system is tetragonal.